(1)
DFT (PBE-GGA) results for crystalline LaErIrBr at its relaxed geometry.

a = 4.1056 Å, b = 4.1056 Å, c = 23.4549 Å
α = 90.00°, β = 90.00°, γ = 120.00°
Space group R3m (No. 160, hexagonal axes)
Unique sites:
La1 0.0000 0.0000 0.0000
Er1 0.0000 0.0000 0.2066
Ir1 0.0000 0.0000 0.5999
Br1 0.0000 0.0000 0.7749

Computed properties:
crystal system: trigonal
VASP energy: -73.83 eV/cell
raw formation energy: -1.147 eV/atom

=====

(2)
DFT (PBE-GGA) results for crystalline PmErIrBr at its relaxed geometry.

a = 4.0780 Å, b = 4.0780 Å, c = 23.1491 Å
α = 90.00°, β = 90.00°, γ = 120.00°
Space group R3m (No. 160, hexagonal axes)
Unique sites:
Pm1 0.0000 0.0000 0.0000
Er1 0.0000 0.0000 0.7931
Ir1 0.0000 0.0000 0.3996
Br1 0.0000 0.0000 0.2269

Computed properties:
crystal system: trigonal
VASP energy: -72.55 eV/cell
raw formation energy: -1.084 eV/atom

=====

(3)
DFT (PBE-GGA) results for crystalline K2ErBr6 at its relaxed geometry.

a = 4.4649 Å, b = 14.8164 Å, c = 8.5360 Å
α = 90.00°, β = 90.00°, γ = 90.00°
Space group Amm2 (No. 38)
Unique sites:
K1 0.0000 0.1670 0.0000
Er1 0.5000 0.0000 0.5009
Br1 0.0000 0.0000 0.7353
Br2 0.0000 0.1170 0.3831
Br3 0.5000 0.0000 0.1459
Br4 0.5000 0.1775 0.6775

Computed properties:
crystal system: orthorhombic
VASP energy: -60.08 eV/cell
raw formation energy: -1.472 eV/atom